VASP calculation (PBE-GGA) on a relaxed structure of Sr2Li12TlHg3.

- calculated total energy (eV per atom) = -1.755
- formation energy from the elements (kJ/mol of formula units) = -193

Cell lengths 7.4858, 7.4858, 7.4858 Å; angles 85.81, 85.81, 85.81 degrees
Positions (direct):
Sr: 0.2407 0.2407 0.2407
Sr: 0.7593 0.7593 0.7593
Li: 0.0808 0.0808 0.6500
Li: 0.0808 0.6500 0.0808
Li: 0.2271 0.6902 0.6902
Li: 0.3098 0.3098 0.7729
Li: 0.3098 0.7729 0.3098
Li: 0.3500 0.9192 0.9192
Li: 0.6500 0.0808 0.0808
Li: 0.6902 0.2271 0.6902
Li: 0.6902 0.6902 0.2271
Li: 0.7729 0.3098 0.3098
Li: 0.9192 0.3500 0.9192
Li: 0.9192 0.9192 0.3500
Tl: 0.5000 0.5000 0.5000
Hg: 0.0000 0.5000 0.5000
Hg: 0.5000 0.0000 0.5000
Hg: 0.5000 0.5000 0.0000



VASP calculation (PBE-GGA) on a relaxed structure of KUGeO5.

- calculated total energy (eV per atom) = -7.683
- energy relative to the elements, uncorrected (eV/atom) = -2.458

Cell lengths 6.1255, 6.1255, 8.0342 Å; angles 105.06, 105.06, 105.26 degrees
Positions (direct):
K: 0.1677 0.8323 0.7500
K: 0.8323 0.1677 0.2500
U: 0.5000 0.5000 0.0000
U: 0.5000 0.5000 0.5000
Ge: 0.1858 0.8142 0.2500
Ge: 0.8142 0.1858 0.7500
O: 0.1201 0.2674 0.8942
O: 0.2078 0.6237 0.3836
O: 0.2674 0.1201 0.3942
O: 0.3763 0.7922 0.1164
O: 0.4370 0.5630 0.7500
O: 0.5630 0.4370 0.2500
O: 0.6237 0.2078 0.8836
O: 0.7326 0.8799 0.6058
O: 0.7922 0.3763 0.6164
O: 0.8799 0.7326 0.1058



Sequential density output: 4.25 5.43 g/cm3